The following is a DFT calculation (PBE) of a relaxed structure of Dy2ErTl2Zn2.

abc: 4.7250 4.7250 9.5058
angles: 75.61 75.61 60.00
With the nearest neighbours (Å) after each atom.
Fractional coordinates of all 7 atoms:
Dy 0.1264 0.1264 0.6209  3 Tl 3.11, 3 Zn 3.32, 1 Er 3.45
Dy 0.8736 0.8736 0.3791  3 Tl 3.11, 3 Zn 3.32, 1 Er 3.45
Er 0.0000 0.0000 0.0000  6 Zn 3.14, 6 Tl 3.36, 2 Dy 3.45
Tl 0.7383 0.7383 0.7850  3 Zn 2.76
Tl 0.2617 0.2617 0.2150  3 Zn 2.76
Zn 0.6098 0.6098 0.1705  3 Tl 2.76
Zn 0.3902 0.3902 0.8295  3 Tl 2.76

Calculated values
- Calculated formation energy: -0.14 eV/atom
- Crystal system: trigonal
- Electronic total energy: -3.15 eV/atom
- Magnetization: 0.000 μB per formula unit
- DOS at the Fermi energy: 2.88 states/eV/f.u.